1.
The following is a DFT calculation (PBE) of a relaxed Tb6Pm8Y crystal.

abc: 9.4435 9.4435 6.5893
angles: 90.00 90.00 120.00
Element x y z (fractional)
Tb 0.0908 0.6558 0.1574
Tb 0.3442 0.4350 0.1574
Tb 0.4350 0.0908 0.8426
Tb 0.5650 0.9092 0.1574
Tb 0.6558 0.5650 0.8426
Tb 0.9092 0.3442 0.8426
Pm 0.0329 0.7469 0.6634
Pm 0.2531 0.2860 0.6634
Pm 0.2860 0.0329 0.3366
Pm 0.3333 0.6667 0.6176
Pm 0.6667 0.3333 0.3824
Pm 0.7140 0.9671 0.6634
Pm 0.7469 0.7140 0.3366
Pm 0.9671 0.2531 0.3366
Y 0.0000 0.0000 0.0000

Calculated values
Symmetry: P-3 (147)
Energy relative to the elements: 0.1728 eV/atom
Total energy: -4.644 eV/atom
Energy relative to the lowest polymorph listed for this composition: 0.75 eV per formula unit



2.
The following is a DFT calculation (PBE) of a relaxed Tb16Pm7Y6 crystal.

abc: 11.2100 11.2100 11.2100
angles: 60.00 60.00 60.00
Element x y z (fractional)
Tb 0.0422 0.6526 0.6526
Tb 0.1252 0.1252 0.1252
Tb 0.1252 0.1252 0.6243
Tb 0.1252 0.6243 0.1252
Tb 0.3474 0.3474 0.3474
Tb 0.3474 0.3474 0.9578
Tb 0.3474 0.9578 0.3474
Tb 0.3757 0.8748 0.8748
Tb 0.6243 0.1252 0.1252
Tb 0.6526 0.0422 0.6526
Tb 0.6526 0.6526 0.0422
Tb 0.6526 0.6526 0.6526
Tb 0.8748 0.3757 0.8748
Tb 0.8748 0.8748 0.3757
Tb 0.8748 0.8748 0.8748
Tb 0.9578 0.3474 0.3474
Pm 0.0000 0.0000 0.0000
Pm 0.0000 0.0000 0.5000
Pm 0.0000 0.5000 0.0000
Pm 0.0000 0.5000 0.5000
Pm 0.5000 0.0000 0.0000
Pm 0.5000 0.0000 0.5000
Pm 0.5000 0.5000 0.0000
Y 0.2725 0.2725 0.7275
Y 0.2725 0.7275 0.2725
Y 0.2725 0.7275 0.7275
Y 0.7275 0.2725 0.2725
Y 0.7275 0.2725 0.7275
Y 0.7275 0.7275 0.2725

Calculated values
Symmetry: Fm-3m (225)
Energy relative to the elements: 0.2396 eV/atom
Total energy: -4.799 eV/atom



3.
The following is a DFT calculation (PBE) of a relaxed Tb2PmY crystal.

abc: 11.8797 11.8797 11.8797
angles: 17.37 17.37 17.37
Element x y z (fractional)
Tb 0.2493 0.2493 0.2493
Tb 0.7507 0.7507 0.7507
Pm 0.0000 0.0000 0.0000
Y 0.5000 0.5000 0.5000

Calculated values
Symmetry: R-3m (166)
Energy relative to the elements: 0.0169 eV/atom
Total energy: -5.102 eV/atom
Energy relative to the lowest polymorph listed for this composition: 0.01 eV per formula unit



4.
The following is a DFT calculation (PBE) of a relaxed TbPm6Y4 crystal.

abc: 5.6833 5.6833 25.9199
angles: 90.00 90.00 117.96
Element x y z (fractional)
Tb 0.2092 0.7908 0.7500
Tb 0.7908 0.2092 0.2500
Pm 0.1265 0.8735 0.1827
Pm 0.1265 0.8735 0.3173
Pm 0.1975 0.8025 0.6021
Pm 0.1975 0.8025 0.8979
Pm 0.4532 0.5468 0.2500
Pm 0.5000 0.5000 0.0000
Pm 0.5000 0.5000 0.5000
Pm 0.5468 0.4532 0.7500
Pm 0.8025 0.1975 0.1021
Pm 0.8025 0.1975 0.3979
Pm 0.8735 0.1265 0.6827
Pm 0.8735 0.1265 0.8173
Y 0.1513 0.8487 0.0441
Y 0.1513 0.8487 0.4559
Y 0.4612 0.5388 0.1237
Y 0.4612 0.5388 0.3763
Y 0.5388 0.4612 0.6237
Y 0.5388 0.4612 0.8763
Y 0.8487 0.1513 0.5441
Y 0.8487 0.1513 0.9559

Calculated values
Symmetry: Cmcm (63)
Energy relative to the elements: 0.1148 eV/atom
Total energy: -5.248 eV/atom
Energy relative to the lowest polymorph listed for this composition: 0.00 eV per formula unit



5.
The following is a DFT calculation (PBE) of a relaxed Tb2Pm3Y6 crystal.

abc: 32.1676 32.1676 32.1676
angles: 6.40 6.40 6.40
Element x y z (fractional)
Tb 0.0451 0.0451 0.0451
Tb 0.9549 0.9549 0.9549
Pm 0.2277 0.2277 0.2277
Pm 0.5000 0.5000 0.5000
Pm 0.7723 0.7723 0.7723
Y 0.1362 0.1362 0.1362
Y 0.3183 0.3183 0.3183
Y 0.4085 0.4085 0.4085
Y 0.5915 0.5915 0.5915
Y 0.6817 0.6817 0.6817
Y 0.8638 0.8638 0.8638

Calculated values
Symmetry: R-3m (166)
Energy relative to the elements: 0.0162 eV/atom
Total energy: -5.647 eV/atom
Energy relative to the lowest polymorph listed for this composition: 0.00 eV per formula unit



6.
The following is a DFT calculation (PBE) of a relaxed Tb2Pm2Y5 crystal.

abc: 8.0242 8.0242 8.0187
angles: 107.51 107.51 36.83
Element x y z (fractional)
Tb 0.1113 0.1113 0.1667
Tb 0.8887 0.8887 0.8333
Pm 0.4449 0.4449 0.1660
Pm 0.5551 0.5551 0.8340
Y 0.0000 0.0000 0.5000
Y 0.2228 0.2228 0.8336
Y 0.3333 0.3333 0.5007
Y 0.6667 0.6667 0.4993
Y 0.7772 0.7772 0.1664

Calculated values
Symmetry: C2/m (12)
Energy relative to the elements: 0.0185 eV/atom
Total energy: -5.657 eV/atom
Energy relative to the lowest polymorph listed for this composition: 0.00 eV per formula unit



7.
The following is a DFT calculation (PBE) of a relaxed Tb2Pm5Y4 crystal.

abc: 12.7711 12.7711 12.7711
angles: 164.06 137.93 45.26
Element x y z (fractional)
Tb 0.2314 0.2314 0.0000
Tb 0.7686 0.7686 0.0000
Pm 0.1534 0.3533 0.8001
Pm 0.4467 0.6467 0.8001
Pm 0.5000 0.0000 0.5000
Pm 0.5533 0.3533 0.1999
Pm 0.8466 0.6467 0.1999
Y 0.0978 0.0978 0.0000
Y 0.1889 0.5000 0.6889
Y 0.8111 0.5000 0.3111
Y 0.9022 0.9022 0.0000

Calculated values
Symmetry: Immm (71)
Energy relative to the elements: 0.2161 eV/atom
Total energy: -5.136 eV/atom
Energy relative to the lowest polymorph listed for this composition: 1.09 eV per formula unit



8.
The following is a DFT calculation (PBE) of a relaxed Tb12Pm7Y crystal.

abc: 8.8103 8.8103 8.8103
angles: 86.13 86.13 86.13
Element x y z (fractional)
Tb 0.0042 0.8824 0.3666
Tb 0.1176 0.6334 0.9958
Tb 0.2263 0.3519 0.7528
Tb 0.2472 0.7737 0.6481
Tb 0.3519 0.7528 0.2263
Tb 0.3666 0.0042 0.8824
Tb 0.6334 0.9958 0.1176
Tb 0.6481 0.2472 0.7737
Tb 0.7528 0.2263 0.3519
Tb 0.7737 0.6481 0.2472
Tb 0.8824 0.3666 0.0042
Tb 0.9958 0.1176 0.6334
Pm 0.0000 0.0000 0.0000
Pm 0.1013 0.4224 0.3460
Pm 0.3460 0.1013 0.4224
Pm 0.4224 0.3460 0.1013
Pm 0.5776 0.6540 0.8986
Pm 0.6540 0.8987 0.5776
Pm 0.8987 0.5776 0.6540
Y 0.5000 0.5000 0.5000

Calculated values
Symmetry: R-3 (148)
Energy relative to the elements: 0.2321 eV/atom
Total energy: -4.532 eV/atom
Energy relative to the lowest polymorph listed for this composition: 0.00 eV per formula unit